A crystal of Cs2KCoF6 relaxed with PBEsol. Source: Alexandria via LeMat-Bulk, functional SCAN. Values from VASP.

```
&SYSTEM
  ibrav = 0, nat = 10, ntyp = 4
/
ATOMIC_SPECIES
F 19.00 F.upf
Cs 132.91 Cs.upf
Co 58.93 Co.upf
K 39.10 K.upf
ATOMIC_POSITIONS crystal
F 0.790 0.790 0.210
F 0.210 0.210 0.790
F 0.210 0.790 0.210
F 0.210 0.790 0.790
F 0.790 0.210 0.210
F 0.790 0.210 0.790
Cs 0.250 0.250 0.250
Cs 0.750 0.750 0.750
Co 0.000 0.000 0.000
K 0.500 0.500 0.500
CELL_PARAMETERS angstrom
-3.829 3.977 2.889
-1.573 -0.958 5.952
2.200 3.767 4.449
```

Total moment (μB per cell): 0.144
Raw formation energy (eV per atom): -2.798

A crystal of CsTiCoOF5 relaxed with PBEsol. Source: Alexandria via LeMat-Bulk, functional SCAN. Values from VASP.

```
&SYSTEM
  ibrav = 0, nat = 18, ntyp = 5
/
ATOMIC_SPECIES
F 19.00 F.upf
Ti 47.87 Ti.upf
Cs 132.91 Cs.upf
O 16.00 O.upf
Co 58.93 Co.upf
ATOMIC_POSITIONS crystal
F 0.166 0.682 0.564
F 0.588 0.064 0.182
F 0.834 0.936 0.818
F 0.834 0.318 0.436
F 0.588 0.682 0.564
F 0.412 0.936 0.818
F 0.412 0.318 0.436
F 0.567 0.683 0.183
F 0.166 0.064 0.182
F 0.433 0.317 0.817
Ti 0.500 0.000 0.500
Ti 0.000 0.000 0.500
Cs 0.889 0.361 0.861
Cs 0.111 0.639 0.139
O 0.791 0.959 0.459
O 0.209 0.041 0.541
Co 0.500 0.500 0.500
Co 0.500 0.000 0.000
CELL_PARAMETERS angstrom
-3.979 -4.889 3.557
0.258 -7.027 -2.006
3.301 -4.961 4.238
```

Total moment (μB per cell): 6.000
Raw formation energy (eV per atom): -3.013

A crystal of CsVCoF6 relaxed with PBEsol. Source: Alexandria via LeMat-Bulk, functional SCAN. Values from VASP.

```
&SYSTEM
  ibrav = 0, nat = 18, ntyp = 4
/
ATOMIC_SPECIES
F 19.00 F.upf
V 50.94 V.upf
Cs 132.91 Cs.upf
Co 58.93 Co.upf
ATOMIC_POSITIONS crystal
F 0.561 0.122 0.311
F 0.819 0.638 0.069
F 0.439 0.878 0.689
F 0.430 0.244 0.669
F 0.430 0.244 0.075
F 0.570 0.756 0.925
F 0.570 0.756 0.331
F 0.186 0.756 0.925
F 0.814 0.244 0.669
F 0.814 0.244 0.075
F 0.181 0.362 0.931
F 0.186 0.756 0.331
V 0.500 0.000 0.000
V 0.500 0.000 0.500
Cs 0.117 0.233 0.367
Cs 0.883 0.767 0.633
Co 0.000 0.500 0.000
Co 0.500 0.500 0.000
CELL_PARAMETERS angstrom
7.221 0.000 0.000
-3.610 6.378 -0.043
0.000 -4.216 6.043
```

Total moment (μB per cell): 9.842
Raw formation energy (eV per atom): -2.914

A crystal of Cs3GaCo relaxed with PBEsol. Source: Alexandria via LeMat-Bulk, functional SCAN. Values from VASP.

```
&SYSTEM
  ibrav = 0, nat = 5, ntyp = 3
/
ATOMIC_SPECIES
Cs 132.91 Cs.upf
Co 58.93 Co.upf
Ga 69.72 Ga.upf
ATOMIC_POSITIONS crystal
Cs 0.000 0.500 0.000
Cs 0.500 0.000 0.000
Cs 0.000 0.000 0.500
Co 0.000 0.000 0.000
Ga 0.500 0.500 0.500
CELL_PARAMETERS angstrom
6.260 0.000 0.000
0.000 6.260 0.000
0.000 0.000 6.260
```

Total moment (μB per cell): 4.986
Formation enthalpy at 0 K (eV per atom): 0.72

| no. | total energy (eV per atom) |
| --- | --- |
| 1 | -15.048 |
| 2 | -13.577 |
| 3 | -13.341 |
| 4 | -28.700 |